Record 1
Compound: CdIn2Ir
Source: Alexandria via LeMat-Bulk
Functional: GGA-PBE
Structure: optimized geometry

Output
E	-28.96	eV per cell
N(E_F)	4.618	states/eV/cell
energy of formation from the pure elements	193	meV per atom

a b c (Å): 6.029 8.175 3.189
angles (deg): 90.00 90.00 90.00
Space group Cmmm (No. 65)
Unique sites:
Cd  0.000  0.000  0.000
In  0.250  0.250  0.500
Ir  0.000  0.500  0.000

***

Record 2
Compound: Ba2In2Sb
Source: Alexandria via LeMat-Bulk
Functional: GGA-PBE
Structure: optimized geometry

Output
ΔE to the lowest computed polymorph	321	meV/atom
E	-28.86	eV per cell
E_form (uncorrected)	-0.1972	eV per atom
N(E_F)	10.075	states/eV/cell

a b c (Å): 9.942 9.942 4.112
angles (deg): 90.00 90.00 90.00
Space group P4/mbm (No. 127)
Unique sites:
Ba  0.196  0.304  0.000
In  0.103  0.603  0.500
Sb  0.000  0.000  0.000

***

Record 3
Compound: NiHg2Te
Source: Alexandria via LeMat-Bulk
Functional: GGA-PBE
Structure: optimized geometry

Output
E	-8.22	eV per cell
E_form (uncorrected)	0.3268	eV per atom
N(E_F)	4.105	states/eV/cell

a b c (Å): 3.912 3.912 6.540
angles (deg): 90.00 90.00 90.00
Space group P4/mmm (No. 123)
Unique sites:
Ni  0.000  0.000  0.000
Hg  0.000  0.500  0.500
Te  0.500  0.500  0.000

***

Record 4
Compound: MgSi2Ir
Source: Alexandria via LeMat-Bulk
Functional: GGA-PBE
Structure: optimized geometry

Output
E	-21.99	eV per cell
E_form (uncorrected)	-0.1709	eV per atom
N(E_F)	2.576	states/eV/cell

a b c (Å): 2.902 2.902 7.354
angles (deg): 90.00 90.00 90.00
Space group P4/mmm (No. 123)
Unique sites:
Mg  0.000  0.000  0.000
Si  0.500  0.500  0.284
Ir  0.000  0.000  0.500

***

Record 5
Compound: AcLaCdAu
Source: Alexandria via LeMat-Bulk
Functional: GGA-PBE
Structure: optimized geometry

Output
ΔE to the lowest computed polymorph	0	meV/atom
E	-15.41	eV per cell
N(E_F)	3.180	states/eV/cell
energy of formation from the pure elements	-544	meV per atom

a b c (Å): 3.921 3.921 7.862
angles (deg): 90.00 90.00 90.00
Space group P4mm (No. 99)
Unique sites:
Ac  0.000  0.000  0.000
La  0.000  0.000  0.532
Cd  0.500  0.500  0.278
Au  0.500  0.500  0.751

***

Record 6
Compound: CdInHgTe
Source: Alexandria via LeMat-Bulk
Functional: GGA-PBE
Structure: optimized geometry

Output
E	-29.00	eV per cell
E_form (uncorrected)	-0.0385	eV per atom
N(E_F)	8.524	states/eV/cell

a b c (Å): 7.696 7.696 7.696
angles (deg): 90.00 90.00 90.00
Space group F-43m (No. 216)
Unique sites:
Cd  0.000  0.000  0.000
In  0.000  0.000  0.500
Hg  0.250  0.250  0.250
Te  0.250  0.250  0.750